1.
The following is a GGA-PBE calculation of a geometry-optimized KCa2Mg structure, from the Alexandria database.

a = 3.9890 Å, b = 3.9890 Å, c = 37.2360 Å
α = 90.00°, β = 90.00°, γ = 120.00°
Space group R-3m (No. 166, hexagonal axes)
Asymmetric unit:
1 K 0.0000 0.0000 0.0000
2 Ca 0.0000 0.0000 0.2343
3 Mg 0.0000 0.0000 0.5000

Properties
**Formation enthalpy at 0 K**: 0.117 eV/atom
**DOS at the Fermi energy**: 3.809 states/eV/f.u.
**Total moment**: 0.0 μB/cell
**Energy**: -1.557 eV/atom

2.
The following is a GGA-PBE calculation of a geometry-optimized KPm4Rh3O12 structure, from the Alexandria database.

a = 8.467 Å, b = 8.467 Å, c = 8.467 Å
α = 90.00°, β = 90.00°, γ = 90.00°
Space group Im-3 (No. 204)
Asymmetric unit:
1 K 0.000 0.000 0.000
2 Pm 0.250 0.250 0.250
3 Rh 0.000 0.000 0.500
4 O 0.000 0.329 0.157

Properties
**Formation energy (no corrections)**: -1.944 eV/atom
**DOS at the Fermi energy**: 9.548 states/eV/f.u.
**Total moment**: 16.2 μB/cell
**Energy**: -7.026 eV/atom

3.
The following is a GGA-PBE calculation of a geometry-optimized Sm3Er5Sb8 structure, from the Alexandria database.

a = 8.7987 Å, b = 8.7987 Å, c = 21.5375 Å
α = 90.00°, β = 90.00°, γ = 120.00°
Space group R-3m (No. 166, hexagonal axes)
Asymmetric unit:
1 Sm 0.0000 0.5000 0.0000
2 Er 0.0000 0.0000 0.0000
3 Er 0.0000 0.0000 0.5000
4 Er 0.0000 0.5000 0.5000
5 Sb 0.0000 0.0000 0.2474
6 Sb 0.0035 0.5018 0.7518

Properties
**Formation energy (no corrections)**: -1.121 eV/atom
**DOS at the Fermi energy**: 2.616 states/eV/f.u.
**Total moment**: 0.0 μB/cell
**Energy**: -5.493 eV/atom

4.
The following is a GGA-PBE calculation of a geometry-optimized Er2TmGa structure, from the Alexandria database.

a = 4.673 Å, b = 4.673 Å, c = 4.666 Å
α = 90.00°, β = 90.00°, γ = 90.00°
Space group P4/mmm (No. 123)
Asymmetric unit:
1 Er 0.000 0.500 0.000
2 Tm 0.000 0.000 0.500
3 Ga 0.500 0.500 0.500

Properties
**Formation enthalpy at 0 K**: -0.242 eV/atom
**DOS at the Fermi energy**: 4.875 states/eV/f.u.
**Total moment**: 0.0 μB/cell
**Energy**: -4.398 eV/atom

> What is the DOS at the Fermi energy in the first record?

3.809 states/eV/f.u.

What did the first record say?
The following is a GGA-PBE calculation of a geometry-optimized KCa2Mg structure, from the Alexandria database.

a = 3.9890 Å, b = 3.9890 Å, c = 37.2360 Å
α = 90.00°, β = 90.00°, γ = 120.00°
Space group R-3m (No. 166, hexagonal axes)
Asymmetric unit:
1 K 0.0000 0.0000 0.0000
2 Ca 0.0000 0.0000 0.2343
3 Mg 0.0000 0.0000 0.5000

Properties
**Formation enthalpy at 0 K**: 0.117 eV/atom
**DOS at the Fermi energy**: 3.809 states/eV/f.u.
**Total moment**: 0.0 μB/cell
**Energy**: -1.557 eV/atom

> The highest total moment belongs to which entry?

KPm4Rh3O12

> What is the formula in the first record?

KCa2Mg